# 1
Density functional theory data (PBE) for an optimized crystal structure of DyPa4O10.

Values from the calculation:
- total DFT energy (no corrections) (eV/f.u.) = -146.61
- space-group type = R-3m
- formation energy from raw total energies (meV/atom) = -3629.4

abc: 3.8665 3.8665 15.7779
angles: 82.96 82.96 60.00
Each line ends with the local moment (μB).
Element x y z (fractional)
Dy1 0.0000 0.0000 0.0000  0.01
Pa1 0.3984 0.3984 0.8049  0.49
Pa2 0.7997 0.7997 0.6009  0.64
Pa3 0.2003 0.2003 0.3991  0.64
Pa4 0.6016 0.6016 0.1951  0.49
O1 0.9489 0.9489 0.1534  -0.01
O2 0.1498 0.1498 0.5508  -0.02
O3 0.5503 0.5503 0.3492  -0.01
O4 0.3518 0.3518 0.9445  -0.01
O5 0.7495 0.7495 0.7514  -0.02
O6 0.6482 0.6482 0.0555  -0.01
O7 0.8502 0.8502 0.4492  -0.02
O8 0.2505 0.2505 0.2486  -0.02
O9 0.0511 0.0511 0.8466  -0.01
O10 0.4497 0.4497 0.6508  -0.01

---

# 2
Density functional theory data (PBE) for an optimized crystal structure of DyPaO4.

Values from the calculation:
- total DFT energy (no corrections) (eV/f.u.) = -56.30
- space-group type = P4/mmm
- formation energy from raw total energies (meV/atom) = -3727.6

abc: 3.8091 3.8091 5.3948
angles: 90.00 90.00 90.00
Element x y z (fractional)
Dy1 0.0000 0.0000 0.0000
Pa1 0.5000 0.5000 0.5000
O1 0.5000 0.0000 0.7402
O2 0.0000 0.5000 0.2598
O3 0.5000 0.0000 0.2598
O4 0.0000 0.5000 0.7402

---

# 3
Density functional theory data (PBE) for an optimized crystal structure of DyPaO2.

Values from the calculation:
- total DFT energy (no corrections) (eV/f.u.) = -34.83
- space-group type = R-3m
- formation energy from raw total energies (meV/atom) = -2703.2

abc: 3.6360 3.6360 6.7126
angles: 74.29 74.29 60.00
Element x y z (fractional)
Pa1 0.0000 0.0000 0.0000
O1 0.1129 0.1129 0.6612
O2 0.8871 0.8871 0.3388
Dy1 0.5000 0.5000 0.5000

---

# 4
Density functional theory data (PBE) for an optimized crystal structure of Dy6PaO12.

Values from the calculation:
- total DFT energy (no corrections) (eV/f.u.) = -163.25
- space-group type = R-3
- formation energy from raw total energies (meV/atom) = -3507.4

abc: 6.6028 6.6028 6.6028
angles: 99.38 99.38 99.38
Each line ends with the local moment (μB).
Element x y z (fractional)
Dy1 0.6876 0.8579 0.3914  0.00
Dy2 0.6086 0.3124 0.1421  0.00
Dy3 0.1421 0.6086 0.3124  0.00
Dy4 0.3124 0.1421 0.6086  0.00
Dy5 0.3914 0.6876 0.8579  0.00
Dy6 0.8579 0.3914 0.6876  0.00
Pa1 0.0000 0.0000 0.0000  0.02
O1 0.8216 0.5694 0.4177  0.11
O2 0.4177 0.8216 0.5694  0.11
O3 0.5694 0.4177 0.8216  0.11
O4 0.1784 0.4306 0.5823  0.11
O5 0.5823 0.1784 0.4306  0.11
O6 0.4306 0.5823 0.1784  0.11
O7 0.0758 0.9428 0.3164  0.03
O8 0.0572 0.6836 0.9242  0.03
O9 0.6836 0.9242 0.0572  0.03
O10 0.9242 0.0572 0.6836  0.03
O11 0.9428 0.3164 0.0758  0.03
O12 0.3164 0.0758 0.9428  0.03

---

# 5
Density functional theory data (PBE) for an optimized crystal structure of DyPa2O6.

Values from the calculation:
- total DFT energy (no corrections) (eV/f.u.) = -86.38
- space-group type = P-3m1
- formation energy from raw total energies (meV/atom) = -3670.6

abc: 3.8693 3.8693 9.2932
angles: 90.00 90.00 120.00
Each line ends with the local moment (μB).
Element x y z (fractional)
Dy1 0.0000 0.0000 0.0000  0.01
Pa1 0.3333 0.6667 0.6723  0.51
Pa2 0.6667 0.3333 0.3277  0.51
O1 0.0000 0.0000 0.2579  -0.01
O2 0.3333 0.6667 0.9070  -0.01
O3 0.6667 0.3333 0.5841  -0.02
O4 0.6667 0.3333 0.0930  -0.01
O5 0.0000 0.0000 0.7421  -0.01
O6 0.3333 0.6667 0.4159  -0.02

---

# 6
Density functional theory data (PBE) for an optimized crystal structure of DyPaO6.

Values from the calculation:
- total DFT energy (no corrections) (eV/f.u.) = -60.29
- space-group type = Fm-3m
- formation energy from raw total energies (meV/atom) = -2055.2

abc: 5.9975 5.9975 5.9975
angles: 60.00 60.00 60.00
Element x y z (fractional)
Dy1 0.0000 0.0000 0.0000
Pa1 0.5000 0.5000 0.5000
O1 0.7368 0.7368 0.2632
O2 0.7368 0.2632 0.2632
O3 0.2632 0.7368 0.7368
O4 0.2632 0.2632 0.7368
O5 0.2632 0.7368 0.2632
O6 0.7368 0.2632 0.7368

---

# 7
Density functional theory data (PBE) for an optimized crystal structure of DyPaO.

Values from the calculation:
- total DFT energy (no corrections) (eV/f.u.) = -23.99
- space-group type = C2/m
- formation energy from raw total energies (meV/atom) = -1646.1

abc: 3.4927 6.5518 6.2564
angles: 92.67 90.00 105.46
Element x y z (fractional)
Dy1 0.1361 0.2721 0.8771
Dy2 0.8639 0.7279 0.1229
Pa1 0.4192 0.8384 0.6295
Pa2 0.5808 0.1616 0.3705
O1 0.6839 0.3678 0.1124
O2 0.3161 0.6322 0.8876

---

# 8
Density functional theory data (PBE) for an optimized crystal structure of DyPaO4.

Values from the calculation:
- total DFT energy (no corrections) (eV/f.u.) = -56.31
- space-group type = I4_1/amd
- formation energy from raw total energies (meV/atom) = -3729.5

abc: 5.3953 5.3953 6.5973
angles: 114.14 114.14 90.00
Element x y z (fractional)
Dy1 0.0000 0.0000 0.0000
Dy2 0.7500 0.2500 0.5000
Pa1 0.2500 0.7500 0.5000
Pa2 0.5000 0.5000 0.0000
O1 0.1354 0.1250 0.7500
O2 0.8750 0.8646 0.2500
O3 0.1354 0.6250 0.7500
O4 0.3750 0.3854 0.2500
O5 0.6146 0.1250 0.7500
O6 0.6146 0.6250 0.7500
O7 0.3750 0.8646 0.2500
O8 0.8750 0.3854 0.2500

---

# 9
Density functional theory data (PBE) for an optimized crystal structure of DyPaPb2O8.

Values from the calculation:
- total DFT energy (no corrections) (eV/f.u.) = -86.16
- space-group type = I-4m2
- formation energy from raw total energies (meV/atom) = -2081.8

abc: 6.2684 6.2684 6.2684
angles: 109.53 109.53 109.35
Element x y z (fractional)
Dy1 0.2500 0.7500 0.5000
Pa1 0.0000 0.0000 0.0000
Pb1 0.7500 0.2500 0.5000
Pb2 0.5000 0.5000 0.0000
O1 0.3444 0.0370 0.3074
O2 0.2789 0.4627 0.1837
O3 0.2789 0.0952 0.8163
O4 0.7296 0.0370 0.6926
O5 0.9048 0.7211 0.1837
O6 0.9630 0.2704 0.3074
O7 0.9630 0.6556 0.6926
O8 0.5373 0.7211 0.8163

---

# 10
Density functional theory data (PBE) for an optimized crystal structure of DyPaPb2O6.

Values from the calculation:
- total DFT energy (no corrections) (eV/f.u.) = -77.24
- space-group type = P2_1/c
- formation energy from raw total energies (meV/atom) = -2597.1

abc: 6.0350 6.1827 8.6497
angles: 90.00 89.88 90.00
Element x y z (fractional)
Dy1 0.5000 0.0000 0.0000
Dy2 0.0000 0.5000 0.5000
Pa1 0.5000 0.0000 0.5000
Pa2 0.0000 0.5000 0.0000
Pb1 0.0069 0.9718 0.2516
Pb2 0.5069 0.5282 0.7516
Pb3 0.9931 0.0282 0.7484
Pb4 0.4931 0.4718 0.2484
O1 0.2997 0.6920 0.0475
O2 0.7997 0.8080 0.5475
O3 0.7003 0.3080 0.9525
O4 0.2003 0.1920 0.4525
O5 0.3098 0.7054 0.4485
O6 0.8098 0.7946 0.9485
O7 0.6902 0.2946 0.5515
O8 0.1902 0.2054 0.0515
O9 0.9010 0.5257 0.2446
O10 0.4010 0.9743 0.7446
O11 0.0990 0.4743 0.7554
O12 0.5990 0.0257 0.2554

---

# 11
Density functional theory data (PBE) for an optimized crystal structure of DyPaPdO6.

Values from the calculation:
- total DFT energy (no corrections) (eV/f.u.) = -70.96
- space-group type = P312
- formation energy from raw total energies (meV/atom) = -2436.0

abc: 4.8967 5.3871 5.3871
angles: 120.00 90.00 90.00
Element x y z (fractional)
Dy1 0.5000 0.6667 0.3333
Pa1 0.0000 0.3333 0.6667
Pd1 0.5000 0.0000 0.0000
O1 0.7410 0.6791 0.6958
O2 0.7410 0.3042 0.9832
O3 0.7410 0.0168 0.3209
O4 0.2590 0.3042 0.3209
O5 0.2590 0.6791 0.9832
O6 0.2590 0.0168 0.6958

---

# 12
Density functional theory data (PBE) for an optimized crystal structure of DyPaPt2O8.

Values from the calculation:
- total DFT energy (no corrections) (eV/f.u.) = -86.85
- space-group type = I-4m2
- formation energy from raw total energies (meV/atom) = -1750.4

abc: 6.0887 6.0887 6.0887
angles: 109.69 109.69 109.03
Element x y z (fractional)
Dy1 0.2500 0.7500 0.5000
Pa1 0.0000 0.0000 0.0000
Pt1 0.7500 0.2500 0.5000
Pt2 0.5000 0.5000 0.0000
O1 0.3595 0.0373 0.3222
O2 0.2828 0.4536 0.1708
O3 0.2828 0.1120 0.8292
O4 0.7150 0.0373 0.6778
O5 0.8880 0.7172 0.1708
O6 0.9627 0.2850 0.3222
O7 0.9627 0.6405 0.6778
O8 0.5464 0.7172 0.8292

---

# 13
Density functional theory data (PBE) for an optimized crystal structure of DyPaPtO6.

Values from the calculation:
- total DFT energy (no corrections) (eV/f.u.) = -72.53
- space-group type = P-31c
- formation energy from raw total energies (meV/atom) = -2516.0

abc: 5.4067 5.4067 9.7764
angles: 90.00 90.00 120.00
Element x y z (fractional)
Dy1 0.3333 0.6667 0.2500
Dy2 0.6667 0.3333 0.7500
Pa1 0.0000 0.0000 0.0000
Pa2 0.0000 0.0000 0.5000
Pt1 0.6667 0.3333 0.2500
Pt2 0.3333 0.6667 0.7500
O1 0.6847 0.6519 0.1291
O2 0.9672 0.3153 0.1291
O3 0.3153 0.9672 0.6291
O4 0.0328 0.6847 0.8709
O5 0.3481 0.3153 0.3709
O6 0.9672 0.6519 0.3709
O7 0.6519 0.9672 0.8709
O8 0.6847 0.0328 0.3709
O9 0.0328 0.3481 0.6291
O10 0.3481 0.0328 0.1291
O11 0.6519 0.6847 0.6291
O12 0.3153 0.3481 0.8709

---

# 14
Density functional theory data (PBE) for an optimized crystal structure of Rb2DyPaO6.

Values from the calculation:
- total DFT energy (no corrections) (eV/f.u.) = -71.22
- space-group type = Fm-3m
- formation energy from raw total energies (meV/atom) = -2543.7

abc: 6.2655 6.2679 6.2688
angles: 59.98 59.98 90.00
Each line ends with the local moment (μB).
Element x y z (fractional)
Rb1 0.2499 0.7500 0.5001  0.00
Rb2 0.7501 0.2500 0.4999  0.00
Dy1 0.5000 0.5000 0.0000  0.02
Pa1 0.0000 0.0000 0.0000  0.05
O1 0.2432 0.7570 0.9999  0.28
O2 0.7569 0.7570 0.9998  0.28
O3 0.2432 0.2431 0.5136  0.28
O4 0.7568 0.2430 0.0001  0.28
O5 0.2431 0.2430 0.0002  0.28
O6 0.7568 0.7569 0.4864  0.28

---

# 15
Density functional theory data (PBE) for an optimized crystal structure of Rb4DyPa3O12.

Values from the calculation:
- total DFT energy (no corrections) (eV/f.u.) = -153.17
- space-group type = Im-3m
- formation energy from raw total energies (meV/atom) = -2835.4

abc: 7.6541 7.6541 7.6541
angles: 109.47 109.47 109.47
Element x y z (fractional)
Rb1 0.5000 0.5000 0.5000
Rb2 0.0000 0.0000 0.5000
Rb3 0.5000 0.0000 0.0000
Rb4 0.0000 0.5000 0.0000
Dy1 0.0000 0.0000 0.0000
Pa1 0.5000 0.0000 0.5000
Pa2 0.5000 0.5000 0.0000
Pa3 0.0000 0.5000 0.5000
O1 0.2500 0.5000 0.7500
O2 0.7387 0.0000 0.7387
O3 0.2613 0.0000 0.2613
O4 0.7500 0.5000 0.2500
O5 0.7387 0.7387 0.0000
O6 0.2613 0.2613 0.0000
O7 0.7500 0.2500 0.5000
O8 0.2500 0.7500 0.5000
O9 0.5000 0.2500 0.7500
O10 0.0000 0.7387 0.7387
O11 0.5000 0.7500 0.2500
O12 0.0000 0.2613 0.2613

---

# 16
Density functional theory data (PBE) for an optimized crystal structure of Rb2DyPa3O12.

Values from the calculation:
- total DFT energy (no corrections) (eV/f.u.) = -143.09
- space-group type = R-3m
- formation energy from raw total energies (meV/atom) = -2698.0

abc: 8.0480 8.0480 8.0480
angles: 61.76 61.76 61.76
Each line ends with the local moment (μB).
Element x y z (fractional)
Rb1 0.6647 0.6647 0.6647  0.00
Rb2 0.3353 0.3353 0.3353  0.00
Dy1 0.0000 0.0000 0.0000  0.03
Pa1 0.5000 0.0000 0.0000  0.11
Pa2 0.0000 0.5000 0.0000  0.11
Pa3 0.0000 0.0000 0.5000  0.11
O1 0.3099 0.3099 0.9526  0.23
O2 0.9336 0.9336 0.3270  0.18
O3 0.3270 0.9336 0.9336  0.18
O4 0.9526 0.3099 0.3099  0.23
O5 0.9336 0.3270 0.9336  0.18
O6 0.3099 0.9526 0.3099  0.23
O7 0.6901 0.6901 0.0474  0.23
O8 0.0664 0.0664 0.6730  0.18
O9 0.6730 0.0664 0.0664  0.18
O10 0.0474 0.6901 0.6901  0.23
O11 0.0664 0.6730 0.0664  0.18
O12 0.6901 0.0474 0.6901  0.23

---

# 17
Density functional theory data (PBE) for an optimized crystal structure of Rb3DyPa2O9.

Values from the calculation:
- total DFT energy (no corrections) (eV/f.u.) = -112.17
- space-group type = P-3m1
- formation energy from raw total energies (meV/atom) = -2736.5

abc: 6.2640 6.2640 7.6412
angles: 90.00 90.00 120.00
Each line ends with the local moment (μB).
Element x y z (fractional)
Rb1 0.3333 0.6667 0.6636  0.00
Rb2 0.0000 0.0000 0.0000  0.00
Rb3 0.6667 0.3333 0.3364  0.00
Dy1 0.0000 0.0000 0.5000  0.02
Pa1 0.3333 0.6667 0.1700  0.06
Pa2 0.6667 0.3333 0.8300  0.06
O1 0.8278 0.1722 0.6721  0.20
O2 0.8278 0.6556 0.6721  0.20
O3 0.3444 0.1722 0.6721  0.20
O4 0.6556 0.8278 0.3279  0.20
O5 0.1722 0.3444 0.3279  0.20
O6 0.1722 0.8278 0.3279  0.20
O7 0.5000 0.0000 0.0000  0.15
O8 0.0000 0.5000 0.0000  0.15
O9 0.5000 0.5000 0.0000  0.15

---

# 18
Density functional theory data (PBE) for an optimized crystal structure of DyPaRhO6.

Values from the calculation:
- total DFT energy (no corrections) (eV/f.u.) = -74.04
- space-group type = P312
- formation energy from raw total energies (meV/atom) = -2537.9

abc: 4.9056 5.3737 5.3737
angles: 120.00 90.00 90.00
Each line ends with the local moment (μB).
Element x y z (fractional)
Dy1 0.5000 0.6667 0.3333  0.01
Pa1 0.0000 0.3333 0.6667  0.01
Rh1 0.5000 0.0000 0.0000  0.39
O1 0.7391 0.6808 0.6990  0.05
O2 0.7391 0.3010 0.9818  0.05
O3 0.7391 0.0182 0.3192  0.05
O4 0.2609 0.3010 0.3192  0.05
O5 0.2609 0.6808 0.9818  0.05
O6 0.2609 0.0182 0.6990  0.05

---

# 19
Density functional theory data (PBE) for an optimized crystal structure of Dy2PaRuO8.

Values from the calculation:
- total DFT energy (no corrections) (eV/f.u.) = -100.71
- space-group type = Cmmm
- formation energy from raw total energies (meV/atom) = -2756.1

abc: 5.0286 5.0286 6.7696
angles: 90.00 90.00 91.45
Each line ends with the local moment (μB).
Element x y z (fractional)
Dy1 0.5000 0.5000 0.7599  0.05
Dy2 0.5000 0.5000 0.2401  0.05
Pa1 0.0000 0.0000 0.5000  0.06
Ru1 0.0000 0.0000 0.0000  1.94
O1 0.1806 0.8193 0.2302  0.09
O2 0.7219 0.7223 0.0000  0.17
O3 0.8194 0.1808 0.2302  0.09
O4 0.8194 0.1807 0.7698  0.09
O5 0.2781 0.2777 0.0000  0.17
O6 0.1806 0.8192 0.7698  0.09
O7 0.6995 0.6995 0.5000  0.01
O8 0.3005 0.3005 0.5000  0.01

---

# 20
Density functional theory data (PBE) for an optimized crystal structure of DyPaSb2O8.

Values from the calculation:
- total DFT energy (no corrections) (eV/f.u.) = -89.95
- space-group type = I-4m2
- formation energy from raw total energies (meV/atom) = -2328.2

abc: 6.2309 6.2309 6.2309
angles: 109.28 109.28 109.85
Element x y z (fractional)
Dy1 0.0000 0.0000 0.0000
Pa1 0.2500 0.7500 0.5000
Sb1 0.7500 0.2500 0.5000
Sb2 0.5000 0.5000 0.0000
O1 0.3745 0.0600 0.3145
O2 0.2832 0.4846 0.2015
O3 0.2832 0.0817 0.7985
O4 0.7456 0.0600 0.6855
O5 0.9183 0.7168 0.2015
O6 0.9400 0.2544 0.3145
O7 0.9400 0.6255 0.6855
O8 0.5154 0.7168 0.7985